Record 1
Computed, not measured: an optimized crystal structure of AlAg6Sb at the PBE level of DFT.

Cell: 4.211 4.211 8.368 Å, 90.00 90.00 90.00°
Element x y z (fractional)
Al 0.000 0.000 0.000
Ag 0.000 0.500 0.234
Ag 0.000 0.500 0.766
Ag 0.500 0.000 0.234
Ag 0.500 0.000 0.766
Ag 0.500 0.500 0.000
Ag 0.500 0.500 0.500
Sb 0.000 0.000 0.500

Calculated values
- Formation energy (no corrections): 0.008 eV/atom
- Space group: No. 123

Record 2
Computed, not measured: an optimized crystal structure of AlAg2Sb at the PBE level of DFT.

Cell: 4.841 5.935 5.935 Å, 29.50 90.00 90.00°
Element x y z (fractional)
Al 0.000 0.000 0.000
Ag 0.000 0.302 0.302
Ag 0.500 0.873 0.873
Sb 0.500 0.138 0.138

Calculated values
- Formation energy (no corrections): 0.103 eV/atom
- Space group: No. 38
- Energy relative to the lowest polymorph listed for this composition: 64.7 meV per atom

Record 3
Computed, not measured: an optimized crystal structure of AlAgSb3 at the PBE level of DFT.

Cell: 5.393 5.393 5.393 Å, 90.00 90.00 90.00°
Element x y z (fractional)
Al 0.000 0.000 0.000
Ag 0.500 0.500 0.500
Sb 0.000 0.500 0.500
Sb 0.500 0.000 0.500
Sb 0.500 0.500 0.000

Calculated values
- Formation energy (no corrections): 0.780 eV/atom
- Space group: No. 221

Record 4
Computed, not measured: an optimized crystal structure of AlAgSb2 at the PBE level of DFT.

Cell: 4.033 4.033 7.251 Å, 105.45 105.45 58.52°
Element x y z (fractional)
Al 0.000 0.000 0.000
Ag 0.500 0.500 0.500
Sb 0.252 0.252 0.757
Sb 0.748 0.748 0.243

Calculated values
- Formation energy (no corrections): 0.108 eV/atom
- Space group: No. 12